Version i
Pm2Sm2Tm3: optimized geometry, PBE.

Structure (POSCAR):
```
Pm2Sm2Tm3
1.0
4.738 -2.972 0.000
4.738 2.972 0.000
-4.245 0.000 8.054
Pm Sm Tm
2 2 3
Direct
0.072 0.072 0.210
0.928 0.928 0.790
0.214 0.214 0.639
0.786 0.786 0.361
0.358 0.358 0.069
0.500 0.500 0.500
0.642 0.642 0.931
```

Calculated values
Size of the total moment (μB/atom): 0.00
D(E_F) (states/eV/cell): 13.84


Version ii
Pm2Sm2Tm3: optimized geometry, PBE.

Structure (POSCAR):
```
Pm2Sm2Tm3
1.0
8.412 -1.749 0.000
8.412 1.749 0.000
-3.905 0.000 7.814
Pm Sm Tm
2 2 3
Direct
0.138 0.138 0.408
0.862 0.862 0.592
0.420 0.420 0.295
0.580 0.580 0.705
0.279 0.279 0.856
0.500 0.500 0.000
0.721 0.721 0.144
```

Calculated values
Size of the total moment (μB/atom): 0.00
D(E_F) (states/eV/cell): 11.51


Decreasing stability: version i, version ii


Version i
Pm12Sm6Tm: optimized geometry, PBE.

Structure (POSCAR):
```
Pm12Sm6Tm
1.0
6.100 3.522 5.093
-6.100 3.522 5.093
0.000 -7.044 5.093
Pm Sm Tm
12 6 1
Direct
0.017 0.194 0.360
0.194 0.360 0.017
0.221 0.463 0.565
0.360 0.017 0.194
0.435 0.779 0.537
0.463 0.565 0.221
0.537 0.435 0.779
0.565 0.221 0.463
0.640 0.983 0.806
0.779 0.537 0.435
0.806 0.640 0.983
0.983 0.806 0.640
0.095 0.699 0.261
0.261 0.095 0.699
0.301 0.739 0.905
0.699 0.261 0.095
0.739 0.905 0.301
0.905 0.301 0.739
0.000 0.000 0.000
```

Calculated values
Size of the total moment (μB/atom): 0.00
D(E_F) (states/eV/cell): 31.03


Version ii
Pm12Sm6Tm: optimized geometry, PBE.

Structure (POSCAR):
```
Pm12Sm6Tm
1.0
6.635 3.831 4.375
-6.635 3.831 4.375
0.000 -7.662 4.375
Pm Sm Tm
12 6 1
Direct
0.000 0.263 0.737
0.000 0.737 0.263
0.170 0.584 0.584
0.263 0.000 0.737
0.263 0.737 0.000
0.416 0.416 0.830
0.416 0.830 0.416
0.584 0.170 0.584
0.584 0.584 0.170
0.737 0.000 0.263
0.737 0.263 0.000
0.830 0.416 0.416
0.137 0.137 0.406
0.137 0.406 0.137
0.406 0.137 0.137
0.594 0.863 0.863
0.863 0.594 0.863
0.863 0.863 0.594
0.000 0.000 0.000
```

Calculated values
Size of the total moment (μB/atom): 0.00
D(E_F) (states/eV/cell): 26.77


Decreasing stability: version ii, version i


Version i
Pm3SmTm3: optimized geometry, PBE.

Structure (POSCAR):
```
Pm3SmTm3
1.0
9.612 0.000 0.000
-4.806 8.324 0.000
0.000 0.000 5.725
Pm Sm Tm
6 2 6
Direct
0.050 0.242 0.250
0.192 0.950 0.250
0.242 0.192 0.750
0.758 0.808 0.250
0.808 0.050 0.750
0.950 0.758 0.750
0.333 0.667 0.250
0.667 0.333 0.750
0.095 0.479 0.750
0.383 0.905 0.750
0.479 0.383 0.250
0.521 0.617 0.750
0.617 0.095 0.250
0.905 0.521 0.250
```

Calculated values
Size of the total moment (μB/atom): 0.00
D(E_F) (states/eV/cell): 25.23


Version ii
Pm3SmTm3: optimized geometry, PBE.

Structure (POSCAR):
```
Pm3SmTm3
1.0
4.327 2.498 7.315
-4.327 2.498 7.315
0.000 -4.996 7.315
Pm Sm Tm
6 2 6
Direct
0.067 0.571 0.219
0.219 0.067 0.571
0.429 0.781 0.933
0.571 0.219 0.067
0.781 0.933 0.429
0.933 0.429 0.781
0.156 0.156 0.156
0.844 0.844 0.844
0.216 0.673 0.437
0.327 0.563 0.784
0.437 0.216 0.673
0.563 0.784 0.327
0.673 0.437 0.216
0.784 0.327 0.563
```

Calculated values
Size of the total moment (μB/atom): 0.00
D(E_F) (states/eV/cell): 20.39


Decreasing stability: version i, version ii


Version i
Pm3Sm4Tm4: optimized geometry, PBE.

Structure (POSCAR):
```
Pm3Sm4Tm4
1.0
3.591 0.000 0.000
0.002 5.046 0.000
1.791 2.520 19.711
Pm Sm Tm
3 4 4
Direct
0.000 0.000 0.000
0.363 0.363 0.274
0.637 0.637 0.726
0.183 0.183 0.634
0.454 0.454 0.092
0.546 0.546 0.908
0.817 0.817 0.366
0.092 0.091 0.817
0.272 0.272 0.456
0.728 0.728 0.544
0.908 0.909 0.183
```

Calculated values
Size of the total moment (μB/atom): 0.00
D(E_F) (states/eV/cell): 13.81


Version ii
Pm3Sm4Tm4: optimized geometry, PBE.

Structure (POSCAR):
```
Pm3Sm4Tm4
1.0
10.666 0.000 0.000
0.000 2.851 6.016
0.000 -2.851 6.016
Pm Sm Tm
3 4 4
Direct
0.000 0.000 0.000
0.290 0.157 0.157
0.710 0.157 0.157
0.000 0.706 0.706
0.212 0.498 0.498
0.500 0.631 0.631
0.788 0.498 0.498
0.000 0.302 0.302
0.302 0.850 0.850
0.500 0.358 0.358
0.698 0.850 0.850
```

Calculated values
Size of the total moment (μB/atom): 0.00
D(E_F) (states/eV/cell): 16.44


Decreasing stability: version i, version ii


Version i
PmSm5Tm: optimized geometry, PBE.

Structure (POSCAR):
```
PmSm5Tm
1.0
-4.004 5.875 3.114
4.004 -5.875 3.114
4.004 5.875 -3.114
Pm Sm Tm
1 5 1
Direct
0.000 0.000 0.000
0.237 0.737 0.500
0.260 0.008 0.252
0.502 0.323 0.820
0.502 0.682 0.180
0.755 0.008 0.748
0.763 0.263 0.500
```

Calculated values
Size of the total moment (μB/atom): 0.00
D(E_F) (states/eV/cell): 8.95


Version ii
PmSm5Tm: optimized geometry, PBE.

Structure (POSCAR):
```
PmSm5Tm
1.0
9.430 0.000 0.000
0.000 3.652 0.000
-3.641 0.000 13.688
Pm Sm Tm
2 10 2
Direct
0.104 0.250 0.115
0.896 0.750 0.885
0.008 0.750 0.380
0.198 0.250 0.876
0.335 0.250 0.509
0.352 0.750 0.722
0.410 0.750 0.077
0.590 0.250 0.923
0.648 0.250 0.278
0.665 0.750 0.491
0.802 0.750 0.124
0.992 0.250 0.620
0.338 0.750 0.302
0.662 0.250 0.698
```

Calculated values
Size of the total moment (μB/atom): 0.00
D(E_F) (states/eV/cell): 19.63


Decreasing stability: version ii, version i


Version i
Pm4SmTm2: optimized geometry, PBE.

Structure (POSCAR):
```
Pm4SmTm2
1.0
6.219 0.000 0.000
0.000 6.606 0.000
-3.109 0.000 11.246
Pm Sm Tm
8 2 4
Direct
0.026 0.250 0.358
0.147 0.250 0.947
0.353 0.505 0.214
0.353 0.995 0.214
0.647 0.005 0.786
0.647 0.495 0.786
0.853 0.750 0.053
0.974 0.750 0.642
0.158 0.250 0.659
0.842 0.750 0.341
0.293 0.750 0.930
0.396 0.750 0.502
0.604 0.250 0.498
0.707 0.250 0.070
```

Calculated values
Size of the total moment (μB/atom): 0.00
D(E_F) (states/eV/cell): 20.58


Version ii
Pm4SmTm2: optimized geometry, PBE.

Structure (POSCAR):
```
Pm4SmTm2
1.0
0.000 12.107 3.223
5.977 0.000 3.223
5.977 12.107 0.000
Pm Sm Tm
8 2 4
Direct
0.019 0.981 0.123
0.127 0.373 0.231
0.373 0.127 0.269
0.452 0.604 0.261
0.567 0.989 0.646
0.604 0.452 0.683
0.981 0.019 0.877
0.989 0.567 0.798
0.490 0.490 0.510
0.740 0.740 0.760
0.061 0.546 0.006
0.244 0.863 0.189
0.546 0.061 0.387
0.863 0.244 0.704
```

Calculated values
Size of the total moment (μB/atom): 0.00
D(E_F) (states/eV/cell): 20.51


Decreasing stability: version ii, version i